CaMnCdO3 | PBE with a Hubbard U | optimized geometry

The structure in extended XYZ format:
```
12
Lattice="3.2902 0.0000 0.0000 0.0000 5.7485 0.0270 0.0000 -1.6975 8.3844" Properties=species:S:1:pos:R:3 pbc="T T T"
Ca 0.8226 1.4709 2.5927
Ca 2.4677 2.5801 5.8186
Mn 0.8226 -0.2738 5.3672
Mn 2.4677 4.3248 3.0441
Cd 0.8226 4.3069 0.4344
Cd 2.4677 -0.2559 7.9769
O 2.4677 -0.0206 1.4337
O 0.8226 4.0717 6.9776
O 0.8226 3.5032 4.1390
O 2.4677 0.5478 4.2723
O 2.4677 2.8360 1.4847
O 0.8226 1.2150 6.9267
```

Total energy   -6.01 eV per atom
Crystal system   monoclinic
D(E_F)   0.05 states/eV per atom

---

Ca2MnCdO4 | PBE with a Hubbard U | optimized geometry

The structure in extended XYZ format:
```
8
Lattice="-1.2647 -2.6996 -1.5747 3.6733 0.8835 -4.4649 2.4438 -3.4212 3.9025" Properties=species:S:1:pos:R:3 pbc="T T T"
Ca 0.5896 -3.0604 1.1639
Ca 3.0586 -1.2688 -0.2812
Mn 0.0000 0.0000 0.0000
Cd 1.2043 -0.9080 -3.0198
O 0.8422 -1.9726 -0.9038
O 4.0103 -3.2646 -1.2332
O 2.7279 -2.3560 1.8482
O 3.3892 -0.1817 -2.4106
```

Total energy   -6.16 eV per atom
Crystal system   monoclinic
D(E_F)   0.00 states/eV per atom